[1]
BaEr3Te4O12: optimized geometry, GGA-PBE.

Cell: 7.318 7.318 7.318 Å, 104.17 104.17 104.17°
Element x y z (fractional)
1 Ba 0.000 0.000 0.000
2 Er 0.000 0.577 0.423
3 Er 0.423 0.000 0.577
4 Er 0.577 0.423 0.000
5 Te 0.099 0.500 0.901
6 Te 0.500 0.500 0.500
7 Te 0.500 0.901 0.099
8 Te 0.901 0.099 0.500
9 O 0.047 0.282 0.373
10 O 0.070 0.930 0.500
11 O 0.282 0.373 0.047
12 O 0.323 0.677 0.500
13 O 0.373 0.047 0.282
14 O 0.500 0.070 0.930
15 O 0.500 0.323 0.677
16 O 0.627 0.718 0.953
17 O 0.677 0.500 0.323
18 O 0.718 0.953 0.627
19 O 0.930 0.500 0.070
20 O 0.953 0.627 0.718

Properties
**Crystal system**: trigonal
**Formation energy (no corrections)**: -1.941 eV per atom

[2]
Tm8CdNi2: optimized geometry, GGA-PBE.

Cell: 7.788 7.788 5.289 Å, 97.43 97.43 114.18°
Element x y z (fractional)
1 Tm 0.073 0.332 0.581
2 Tm 0.248 0.752 0.000
3 Tm 0.332 0.073 0.581
4 Tm 0.387 0.387 0.196
5 Tm 0.613 0.613 0.804
6 Tm 0.668 0.927 0.419
7 Tm 0.752 0.248 0.000
8 Tm 0.927 0.668 0.419
9 Cd 0.000 0.000 0.000
10 Ni 0.307 0.693 0.500
11 Ni 0.693 0.307 0.500

Properties
**ΔH_f (0 K)**: -1.635 eV/f.u.
**Crystal system**: monoclinic

[3]
Cs2PdSBr6: optimized geometry, GGA-PBE.

Cell: 7.596 7.596 7.596 Å, 119.42 119.42 91.01°
Element x y z (fractional)
1 Cs 0.250 0.750 0.500
2 Cs 0.750 0.250 0.500
3 Pd 0.000 0.000 0.000
4 S 0.500 0.500 0.000
5 Br 0.240 0.240 0.480
6 Br 0.240 0.760 0.000
7 Br 0.251 0.251 0.000
8 Br 0.749 0.749 0.000
9 Br 0.760 0.240 0.000
10 Br 0.760 0.760 0.520

Properties
**Crystal system**: tetragonal
**Formation energy (no corrections)**: -0.766 eV per atom

[4]
Ba7Al6: optimized geometry, GGA-PBE.

Cell: 10.121 10.121 10.121 Å, 50.18 50.18 50.18°
Element x y z (fractional)
1 Ba 0.000 0.000 0.000
2 Ba 0.102 0.102 0.539
3 Ba 0.102 0.539 0.102
4 Ba 0.461 0.898 0.898
5 Ba 0.539 0.102 0.102
6 Ba 0.898 0.461 0.898
7 Ba 0.898 0.898 0.461
8 Al 0.149 0.149 0.149
9 Al 0.356 0.356 0.356
10 Al 0.452 0.452 0.452
11 Al 0.548 0.548 0.548
12 Al 0.644 0.644 0.644
13 Al 0.851 0.851 0.851

Properties
**ΔH_f (0 K)**: 4.820 eV/f.u.
**Crystal system**: trigonal

Number 1: DOS at the Fermi energy 2.96 states/eV/f.u., calculated total energy -6.32 eV/atom. Number 2: DOS at the Fermi energy 13.66 states/eV/f.u., calculated total energy -4.53 eV/atom. Number 3: DOS at the Fermi energy 2.59 states/eV/f.u., calculated total energy -2.87 eV/atom. Number 4: DOS at the Fermi energy 13.78 states/eV/f.u., calculated total energy -2.39 eV/atom.